Below is a relaxed Tb3Dy4ErS8 crystal, with properties calculated at the PBE-GGA level.

abc: 7.8179 7.8179 19.1495
angles: 90.00 90.00 120.00
Space group R-3m (No. 166, hexagonal axes)
Symmetry-distinct sites (fractional):
Tb1 0.0000 0.5000 0.0000 (multiplicity 9)
Dy1 0.0000 0.0000 0.5000 (multiplicity 3)
Dy2 0.0000 0.5000 0.5000 (multiplicity 9)
Er1 0.0000 0.0000 0.0000 (multiplicity 3)
S1 0.0000 0.0000 0.2492 (multiplicity 6)
S2 0.0030 0.5015 0.7500 (multiplicity 18)

Output
**Total DFT energy (no corrections)**: -6.36 eV/atom
**Spin magnetization**: 0.000 μB per atom


Below is a relaxed Tb2Dy3ErS6 crystal, with properties calculated at the PBE-GGA level.

abc: 17.003 3.897 7.839
angles: 90.00 103.42 90.00
Space group C2/m (No. 12)
Symmetry-distinct sites (fractional):
Tb1 0.167 0.000 0.334 (multiplicity 4)
Dy1 0.000 0.500 0.500 (multiplicity 2)
Dy2 0.168 0.000 0.833 (multiplicity 4)
Er1 0.000 0.500 0.000 (multiplicity 2)
S1 0.001 0.000 0.753 (multiplicity 4)
S2 0.165 0.500 0.081 (multiplicity 4)
S3 0.166 0.500 0.584 (multiplicity 4)

Output
**Total DFT energy (no corrections)**: -6.36 eV/atom
**Spin magnetization**: 0.000 μB per atom


Below is a relaxed Tb2DyErS6 crystal, with properties calculated at the PBE-GGA level.

abc: 6.9140 6.9140 18.5032
angles: 90.00 90.00 120.00
Space group R3 (No. 146, hexagonal axes)
Symmetry-distinct sites (fractional):
Tb1 0.0000 0.0000 0.0000 (multiplicity 3)
Tb2 0.0000 0.0000 0.4994 (multiplicity 3)
Dy1 0.0000 0.0000 0.2015 (multiplicity 3)
Er1 0.0000 0.0000 0.7006 (multiplicity 3)
S1 0.0351 0.6732 0.7681 (multiplicity 9)
S2 0.0358 0.3655 0.2684 (multiplicity 9)

Output
**Total DFT energy (no corrections)**: -6.38 eV/atom
**Spin magnetization**: 0.000 μB per atom


Below is a relaxed TbDy2ErS4 crystal, with properties calculated at the PBE-GGA level.

abc: 6.767 3.869 6.782
angles: 90.00 109.11 90.00
Space group P2/m (No. 10)
Symmetry-distinct sites (fractional):
Tb1 0.000 0.000 0.000 (multiplicity 1)
Dy1 0.500 0.000 0.500 (multiplicity 1)
Dy2 0.500 0.500 0.000 (multiplicity 1)
Er1 0.000 0.500 0.500 (multiplicity 1)
S1 0.248 0.000 0.747 (multiplicity 2)
S2 0.250 0.500 0.253 (multiplicity 2)

Output
**Total DFT energy (no corrections)**: -6.35 eV/atom
**Spin magnetization**: 0.000 μB per atom


Below is a relaxed Tb2DyEr3S6 crystal, with properties calculated at the PBE-GGA level.

abc: 16.954 3.881 7.816
angles: 90.00 103.60 90.00
Space group C2/m (No. 12)
Symmetry-distinct sites (fractional):
Tb1 0.167 0.000 0.334 (multiplicity 4)
Dy1 0.000 0.500 0.000 (multiplicity 2)
Er1 0.000 0.500 0.500 (multiplicity 2)
Er2 0.167 0.000 0.833 (multiplicity 4)
S1 0.001 0.000 0.748 (multiplicity 4)
S2 0.165 0.500 0.587 (multiplicity 4)
S3 0.167 0.500 0.079 (multiplicity 4)

Output
**Total DFT energy (no corrections)**: -6.34 eV/atom
**Spin magnetization**: 0.000 μB per atom


Below is a relaxed Tb3DyEr2S6 crystal, with properties calculated at the PBE-GGA level.

abc: 6.738 11.722 6.764
angles: 90.00 109.44 90.00
Space group C2/m (No. 12)
Symmetry-distinct sites (fractional):
Tb1 0.000 0.000 0.000 (multiplicity 2)
Tb2 0.000 0.335 0.000 (multiplicity 4)
Dy1 0.000 0.500 0.500 (multiplicity 2)
Er1 0.000 0.166 0.500 (multiplicity 4)
S1 0.246 0.000 0.745 (multiplicity 4)
S2 0.250 0.168 0.254 (multiplicity 8)

Output
**Total DFT energy (no corrections)**: -6.36 eV/atom
**Spin magnetization**: 0.000 μB per atom


Below is a relaxed Tb2DyErS4 crystal, with properties calculated at the PBE-GGA level.

abc: 6.780 3.872 6.793
angles: 90.00 109.07 90.00
Space group P2/m (No. 10)
Symmetry-distinct sites (fractional):
Tb1 0.000 0.000 0.000 (multiplicity 1)
Tb2 0.500 0.500 0.000 (multiplicity 1)
Dy1 0.000 0.500 0.500 (multiplicity 1)
Er1 0.500 0.000 0.500 (multiplicity 1)
S1 0.251 0.000 0.747 (multiplicity 2)
S2 0.254 0.500 0.255 (multiplicity 2)

Output
**Total DFT energy (no corrections)**: -6.36 eV/atom
**Spin magnetization**: 0.000 μB per atom


Below is a relaxed Tb4Dy3ErS8 crystal, with properties calculated at the PBE-GGA level.

abc: 7.8195 7.8195 19.1805
angles: 90.00 90.00 120.00
Space group R-3m (No. 166, hexagonal axes)
Symmetry-distinct sites (fractional):
Tb1 0.0000 0.0000 0.0000 (multiplicity 3)
Tb2 0.0000 0.5000 0.0000 (multiplicity 9)
Dy1 0.0000 0.5000 0.5000 (multiplicity 9)
Er1 0.0000 0.0000 0.5000 (multiplicity 3)
S1 0.0000 0.0000 0.2492 (multiplicity 6)
S2 0.0020 0.5010 0.2487 (multiplicity 18)

Output
**Total DFT energy (no corrections)**: -6.36 eV/atom
**Spin magnetization**: 0.000 μB per atom


Below is a relaxed TbDyEr2S6 crystal, with properties calculated at the PBE-GGA level.

abc: 6.8873 6.8873 18.4531
angles: 90.00 90.00 120.00
Space group R3 (No. 146, hexagonal axes)
Symmetry-distinct sites (fractional):
Tb1 0.0000 0.0000 0.0000 (multiplicity 3)
Dy1 0.0000 0.0000 0.4994 (multiplicity 3)
Er1 0.0000 0.0000 0.2987 (multiplicity 3)
Er2 0.0000 0.0000 0.7991 (multiplicity 3)
S1 0.0054 0.7013 0.8977 (multiplicity 9)
S2 0.0072 0.3039 0.3979 (multiplicity 9)

Output
**Total DFT energy (no corrections)**: -6.37 eV/atom
**Spin magnetization**: 0.000 μB per atom


Below is a relaxed DyErTeS crystal, with properties calculated at the PBE-GGA level.

abc: 3.9905 3.9905 21.3218
angles: 90.00 90.00 120.00
Space group R3m (No. 160, hexagonal axes)
Symmetry-distinct sites (fractional):
Dy1 0.0000 0.0000 0.0000 (multiplicity 3)
Er1 0.0000 0.0000 0.8049 (multiplicity 3)
Te1 0.0000 0.0000 0.5690 (multiplicity 3)
S1 0.0000 0.0000 0.4013 (multiplicity 3)

Output
**Total DFT energy (no corrections)**: -5.76 eV/atom
**Spin magnetization**: 0.000 μB per atom


Below is a relaxed Dy3ErTh4S8 crystal, with properties calculated at the PBE-GGA level.

abc: 7.7940 7.7940 20.1559
angles: 90.00 90.00 120.00
Space group R-3m (No. 166, hexagonal axes)
Symmetry-distinct sites (fractional):
Dy1 0.0000 0.5000 0.0000 (multiplicity 9)
Er1 0.0000 0.0000 0.0000 (multiplicity 3)
Th1 0.0000 0.0000 0.5000 (multiplicity 3)
Th2 0.0000 0.5000 0.5000 (multiplicity 9)
S1 0.0000 0.0000 0.2555 (multiplicity 6)
S2 0.0018 0.5009 0.7442 (multiplicity 18)

Output
**Total DFT energy (no corrections)**: -6.98 eV/atom
**Spin magnetization**: 0.000 μB per atom


Below is a relaxed DyErTh2S4 crystal, with properties calculated at the PBE-GGA level.

abc: 6.725 3.917 7.069
angles: 90.00 108.76 90.00
Space group P2/m (No. 10)
Symmetry-distinct sites (fractional):
Dy1 0.000 0.000 0.000 (multiplicity 1)
Er1 0.500 0.500 0.000 (multiplicity 1)
Th1 0.000 0.500 0.500 (multiplicity 1)
Th2 0.500 0.000 0.500 (multiplicity 1)
S1 0.246 0.500 0.232 (multiplicity 2)
S2 0.258 0.000 0.769 (multiplicity 2)

Output
**Total DFT energy (no corrections)**: -6.96 eV/atom
**Spin magnetization**: 0.000 μB per atom


> Look up the total DFT energy (no corrections) of the eighth one.

-6.36 eV/atom


> total DFT energy (no corrections) of number 10 (DyErTeS)?

-5.76 eV/atom


> Which value of total DFT energy (no corrections) does entry 2 give?

-6.36 eV/atom